Material: SrSn3Pd5
Method: DFT, GGA-PBE
State: optimized geometry

CIF file:
```
data_SrSn3Pd5
_symmetry_space_group_name_H-M 'C m c m'
_symmetry_Int_Tables_number 63
_symmetry_space_group_name_Hall '-C 2c 2'
_cell_length_a 4.1973
_cell_length_b 13.8711
_cell_length_c 13.4568
_cell_angle_alpha 90.00
_cell_angle_beta 90.00
_cell_angle_gamma 90.00
loop_
_atom_site_label
_atom_site_type_symbol
_atom_site_fract_x
_atom_site_fract_y
_atom_site_fract_z
Sr1 Sr 0.0000 0.1655 0.2500
Sn1 Sn 0.0000 0.1046 0.7500
Sn2 Sn 0.0000 0.3768 0.5408
Pd1 Pd 0.0000 0.0000 0.0000
Pd2 Pd 0.0000 0.1926 0.5719
Pd3 Pd 0.0000 0.4564 0.1437
```

Output
Formation energy ... -591 meV/atom
Total DFT energy (no corrections) ... -4.997 eV per atom